# 1
6
Lattice="-5.513 0.645 0.338 -3.313 -4.461 0.217 -2.663 -1.259 4.717" Properties=species:S:1:pos:R:3 comment="ThGa4Au (PBE-GGA, optimized geometry)" ef_mev_per_atom=-200.6 spacegroup=F-43m pbc="T T T"
Au 0.000 0.000 0.000
Ga -5.849 -2.543 0.937
Ga -5.524 -0.942 3.186
Ga -7.180 -3.172 3.295
Ga -4.425 -3.494 3.126
Th -2.872 -1.269 1.318



# 2
10
Lattice="-3.520 -2.518 7.204 -2.758 -6.977 -3.787 2.423 -1.345 0.714" Properties=species:S:1:pos:R:3 comment="KMn2Au2 (PBE-GGA, optimized geometry)" ef_mev_per_atom=154.3 spacegroup=P4/mbm pbc="T T T"
K 0.000 0.000 0.000
K -3.139 -4.748 1.709
Mn -0.917 -5.295 -1.129
Mn -3.398 -8.377 1.484
Mn -2.938 -5.546 5.259
Mn -0.458 -2.464 2.647
Au -3.437 -6.602 -0.773
Au -4.768 -6.775 3.418
Au -2.841 -2.894 4.190
Au -1.510 -2.721 -0.001



# 3
5
Lattice="5.594 0.000 0.000 0.000 5.594 0.000 2.797 2.797 3.337" Properties=species:S:1:pos:R:3 comment="Si2Sn2B (PBE-GGA, optimized geometry)" relative_energy_mev_per_atom=148.4 spacegroup=I4/mmm raw_formation_energy_ev_per_atom=0.65 pbc="T T T"
Si 2.797 2.797 1.390
Si 5.594 5.594 1.947
B 0.000 0.000 0.000
Sn 5.594 2.797 1.668
Sn 2.797 5.594 1.668



# 4
9
Lattice="6.421 0.000 0.000 3.210 5.560 0.000 0.000 0.000 8.349" Properties=species:S:1:pos:R:3 comment="RbZrPSe6 (PBE-GGA, optimized geometry)" spacegroup=P312 raw_formation_energy_ev_per_atom=-0.41 pbc="T T T"
Rb 6.420 0.000 0.000
Zr 6.420 3.707 4.175
P 3.210 1.853 4.174
Se 1.286 1.931 2.671
Se 2.315 0.148 5.679
Se 5.134 1.930 5.679
Se 2.181 3.481 5.679
Se 4.239 3.481 2.671
Se 4.105 0.148 2.670



# 5
10
Lattice="6.931 0.000 0.000 0.000 6.931 0.000 0.000 0.000 5.606" Properties=species:S:1:pos:R:3 comment="Tl2Sn2Ru (PBE-GGA, optimized geometry)" ef_mev_per_atom=285.7 spacegroup=P4/mbm pbc="T T T"
Ru 0.000 0.000 0.000
Ru 3.465 3.465 0.000
Tl 1.276 4.741 2.803
Tl 4.741 5.655 2.803
Tl 5.655 2.190 2.803
Tl 2.190 1.276 2.803
Sn 2.379 5.844 0.000
Sn 5.844 4.552 0.000
Sn 4.552 1.087 0.000
Sn 1.087 2.379 0.000



# 6
20
Lattice="-5.899 -2.189 1.461 -0.649 -2.113 8.495 -4.707 6.028 4.308" Properties=species:S:1:pos:R:3 comment="Ac2Ge3Pd5 (PBE-GGA, optimized geometry)" ef_mev_per_atom=-786.5 spacegroup=Ibam pbc="T T T"
Ac -1.712 -0.928 5.977
Ac -6.736 2.140 4.567
Ac -9.542 2.654 8.287
Ac -4.518 -0.414 9.697
Ge -6.087 2.621 7.911
Ge -7.991 -0.571 9.720
Ge -5.168 -0.895 6.353
Ge -3.264 2.297 4.544
Ge -1.475 -0.547 0.365
Ge -4.424 -1.642 1.096
Pd -7.103 4.677 6.890
Pd -6.972 -2.597 10.798
Pd -4.152 -2.952 7.374
Pd -4.282 4.322 3.466
Pd -6.978 1.708 10.086
Pd -4.276 0.017 4.179
Pd -7.102 0.315 7.497
Pd -4.152 1.410 6.767
Pd -7.226 -1.078 4.909
Pd -4.028 2.803 9.355



Number 1: D(E_F) 3.69 states/eV/cell, energy -4.00 eV/atom. Number 2: D(E_F) 4.65 states/eV/cell, energy -5.04 eV/atom. Number 3: D(E_F) 3.05 states/eV/cell, energy -4.46 eV/atom. Number 4: D(E_F) 8.44 states/eV/cell, energy -4.40 eV/atom. Number 5: D(E_F) 4.08 states/eV/cell, energy -4.12 eV/atom. Number 6: D(E_F) 13.21 states/eV/cell, energy -5.59 eV/atom.